No. 1
Sc2Ti2Al PBE-GGA relaxed; formation enthalpy at 0 K = 6 meV per atom; DOS(E_F) = 7.1 states/eV/f.u.; theoretical density = 3518 kg/m3
1.0
7.069 0.000 0.000
0.000 7.069 0.000
0.000 0.000 4.017
Sc Ti Al
4 4 2
direct
0.160 0.340 0.000 Sc
0.340 0.840 0.000 Sc
0.660 0.160 0.000 Sc
0.840 0.660 0.000 Sc
0.138 0.638 0.500 Ti
0.362 0.138 0.500 Ti
0.638 0.862 0.500 Ti
0.862 0.362 0.500 Ti
0.000 0.000 0.500 Al
0.500 0.500 0.500 Al



No. 2
CoSbMo2 PBE-GGA relaxed; ΔE_f (raw) = 249 meV per atom; DOS(E_F) = 3.5 states/eV/f.u.; theoretical density = 9881 kg/m3
1.0
3.748 0.000 0.000
0.000 3.748 0.000
0.000 0.000 4.456
Co Sb Mo
1 1 2
direct
0.000 0.000 0.000 Co
0.500 0.500 0.000 Sb
0.000 0.500 0.500 Mo
0.500 0.000 0.500 Mo



No. 3
PuH6Pd3 PBE-GGA relaxed; DOS(E_F) = 15.5 states/eV/f.u.; theoretical density = 10056 kg/m3
1.0
5.001 0.000 0.000
2.500 4.335 0.000
0.004 2.870 4.336
Pu H Pd
1 6 3
direct
0.000 0.000 0.000 Pu
0.013 0.502 0.022 H
0.128 0.992 0.504 H
0.484 0.992 0.031 H
0.499 0.370 0.507 H
0.523 0.462 0.023 H
0.879 0.623 0.506 H
0.245 0.509 0.736 Pd
0.477 0.046 0.431 Pd
0.757 0.486 0.272 Pd



No. 4
Tb2Ho8Tm PBE-GGA relaxed; formation enthalpy at 0 K = 170 meV per atom; DOS(E_F) = 17.7 states/eV/f.u.; theoretical density = 8417 kg/m3
1.0
9.341 -3.451 0.000
9.341 3.451 0.000
-0.276 0.000 5.528
Tb Ho Tm
2 8 1
direct
0.216 0.216 0.251 Tb
0.784 0.784 0.749 Tb
0.046 0.046 0.235 Ho
0.103 0.636 0.267 Ho
0.314 0.314 0.767 Ho
0.364 0.897 0.733 Ho
0.636 0.103 0.267 Ho
0.686 0.686 0.233 Ho
0.897 0.364 0.733 Ho
0.954 0.954 0.765 Ho
0.500 0.500 0.000 Tm



No. 5
CsRe2NiS8 PBE-GGA relaxed; ΔE_f (raw) = -376 meV per atom; DOS(E_F) = 5.4 states/eV/f.u.; theoretical density = 4221 kg/m3
1.0
3.013 1.740 10.264
-3.013 1.740 10.264
0.000 -3.479 10.264
Cs Re Ni S
1 2 1 8
direct
0.000 0.000 0.000 Cs
0.236 0.236 0.236 Re
0.764 0.764 0.764 Re
0.500 0.500 0.500 Ni
0.131 0.460 0.778 S
0.222 0.869 0.540 S
0.307 0.307 0.307 S
0.460 0.778 0.131 S
0.540 0.222 0.869 S
0.693 0.693 0.693 S
0.778 0.131 0.460 S
0.869 0.540 0.222 S



No. 6
TaNbS3 PBE-GGA relaxed; ΔE_f (raw) = 446 meV per atom; DOS(E_F) = 4.1 states/eV/f.u.; theoretical density = 5786 kg/m3
1.0
4.736 0.000 0.000
0.000 4.736 0.000
0.000 0.000 4.736
Ta Nb S
1 1 3
direct
0.000 0.000 0.000 Ta
0.500 0.500 0.500 Nb
0.000 0.500 0.500 S
0.500 0.000 0.500 S
0.500 0.500 0.000 S



No. 7
ZrCdMo2 PBE-GGA relaxed; formation enthalpy at 0 K = 271 meV per atom; DOS(E_F) = 3.3 states/eV/f.u.; theoretical density = 8753 kg/m3
1.0
2.819 0.000 0.000
0.000 4.875 0.000
-0.774 0.000 5.460
Zr Cd Mo
1 1 2
direct
0.000 0.000 0.000 Zr
0.500 0.000 0.500 Cd
0.298 0.500 0.782 Mo
0.702 0.500 0.218 Mo



No. 8
TbNd2V PBE-GGA relaxed; formation enthalpy at 0 K = 359 meV per atom; DOS(E_F) = 5.3 states/eV/f.u.; theoretical density = 7114 kg/m3
1.0
7.749 0.000 0.000
0.000 7.749 0.000
0.000 0.000 7.749
Tb Nd V
4 8 4
direct
0.000 0.000 0.000 Tb
0.000 0.500 0.500 Tb
0.500 0.000 0.500 Tb
0.500 0.500 0.000 Tb
0.250 0.250 0.250 Nd
0.250 0.250 0.750 Nd
0.250 0.750 0.250 Nd
0.250 0.750 0.750 Nd
0.750 0.250 0.250 Nd
0.750 0.250 0.750 Nd
0.750 0.750 0.250 Nd
0.750 0.750 0.750 Nd
0.000 0.000 0.500 V
0.000 0.500 0.000 V
0.500 0.000 0.000 V
0.500 0.500 0.500 V



No. 9
TaFe2As PBE-GGA relaxed; formation enthalpy at 0 K = 132 meV per atom; DOS(E_F) = 3.5 states/eV/f.u.; theoretical density = 10653 kg/m3
1.0
5.167 0.000 0.000
0.000 8.431 0.000
-1.006 0.000 2.630
Ta Fe As
2 4 2
direct
0.000 0.000 0.000 Ta
0.500 0.500 0.000 Ta
0.250 0.250 0.500 Fe
0.250 0.750 0.500 Fe
0.750 0.250 0.500 Fe
0.750 0.750 0.500 Fe
0.000 0.500 0.000 As
0.500 0.000 0.000 As



No. 10
PuBr2Cl6 PBE-GGA relaxed; ΔE_f (raw) = -914 meV per atom; DOS(E_F) = 10.9 states/eV/f.u.; theoretical density = 2869 kg/m3
1.0
7.418 -6.530 0.000
7.418 6.530 0.000
-0.851 0.000 7.368
Pu Br Cl
2 4 12
direct
0.076 0.924 0.750 Pu
0.924 0.076 0.250 Pu
0.358 0.358 0.335 Br
0.358 0.358 0.835 Br
0.642 0.642 0.165 Br
0.642 0.642 0.665 Br
0.024 0.161 0.956 Cl
0.101 0.687 0.608 Cl
0.161 0.024 0.456 Cl
0.241 0.475 0.085 Cl
0.313 0.899 0.892 Cl
0.475 0.241 0.585 Cl
0.525 0.759 0.415 Cl
0.687 0.101 0.108 Cl
0.759 0.525 0.915 Cl
0.839 0.976 0.544 Cl
0.899 0.313 0.392 Cl
0.976 0.839 0.044 Cl



No. 11
CdCuO2F PBE-GGA relaxed; ΔE_f (raw) = -744 meV per atom; DOS(E_F) = 3.0 states/eV/f.u.; theoretical density = 6602 kg/m3
1.0
3.844 0.000 0.000
0.000 3.844 0.000
0.000 0.000 3.863
Cd Cu O F
1 1 2 1
direct
0.000 0.000 0.000 Cd
0.500 0.500 0.500 Cu
0.000 0.500 0.500 O
0.500 0.000 0.500 O
0.500 0.500 0.000 F



No. 12
PrYMgGa PBE-GGA relaxed; formation enthalpy at 0 K = -349 meV per atom; DOS(E_F) = 2.5 states/eV/f.u.; theoretical density = 5175 kg/m3
1.0
7.463 0.000 0.000
0.000 7.463 0.000
0.000 0.000 7.463
Pr Y Mg Ga
4 4 4 4
direct
0.000 0.000 0.000 Pr
0.000 0.500 0.500 Pr
0.500 0.000 0.500 Pr
0.500 0.500 0.000 Pr
0.000 0.000 0.500 Y
0.000 0.500 0.000 Y
0.500 0.000 0.000 Y
0.500 0.500 0.500 Y
0.250 0.250 0.750 Mg
0.250 0.750 0.250 Mg
0.750 0.250 0.250 Mg
0.750 0.750 0.750 Mg
0.250 0.250 0.250 Ga
0.250 0.750 0.750 Ga
0.750 0.250 0.750 Ga
0.750 0.750 0.250 Ga



No. 13
PtCN2O PBE-GGA relaxed; ΔE_f (raw) = 2130 meV per atom; DOS(E_F) = 3.1 states/eV/f.u.; theoretical density = 10239 kg/m3
1.0
3.460 0.000 0.000
0.000 3.460 0.000
0.000 0.000 3.402
Pt C N O
1 1 2 1
direct
0.000 0.000 0.000 Pt
0.500 0.500 0.500 C
0.000 0.500 0.500 N
0.500 0.000 0.500 N
0.500 0.500 0.000 O



No. 14
SnBiSe2 PBE-GGA relaxed; ΔE_f (raw) = -116 meV per atom; DOS(E_F) = 1.6 states/eV/f.u.; theoretical density = 5810 kg/m3
1.0
5.792 0.000 0.000
0.000 5.792 0.000
0.000 0.000 16.550
Sn Bi Se
4 4 8
direct
0.000 0.000 0.000 Sn
0.000 0.500 0.250 Sn
0.500 0.000 0.750 Sn
0.500 0.500 0.500 Sn
0.000 0.000 0.500 Bi
0.000 0.500 0.750 Bi
0.500 0.000 0.250 Bi
0.500 0.500 0.000 Bi
0.249 0.250 0.125 Se
0.250 0.749 0.375 Se
0.250 0.751 0.875 Se
0.251 0.250 0.625 Se
0.749 0.750 0.625 Se
0.750 0.249 0.875 Se
0.750 0.251 0.375 Se
0.751 0.750 0.125 Se



No. 15
K3Dy2TiS6 PBE-GGA relaxed; ΔE_f (raw) = -1665 meV per atom; DOS(E_F) = 6.1 states/eV/f.u.; theoretical density = 3836 kg/m3
1.0
3.407 -5.904 0.000
3.407 5.904 0.000
-2.276 0.000 7.343
K Dy Ti S
3 2 1 6
direct
0.000 0.000 0.000 K
0.330 0.670 0.000 K
0.670 0.330 0.000 K
0.167 0.833 0.500 Dy
0.833 0.167 0.500 Dy
0.500 0.500 0.500 Ti
0.121 0.434 0.303 S
0.253 0.253 0.697 S
0.434 0.121 0.303 S
0.566 0.879 0.697 S
0.747 0.747 0.303 S
0.879 0.566 0.697 S



No. 16
Sr2Cu2Se PBE-GGA relaxed; ΔE_f (raw) = -293 meV per atom; DOS(E_F) = 4.7 states/eV/f.u.; theoretical density = 4768 kg/m3
1.0
5.921 0.000 0.000
0.000 5.921 0.000
0.000 0.000 7.577
Sr Cu Se
4 4 2
direct
0.000 0.500 0.250 Sr
0.000 0.500 0.750 Sr
0.500 0.000 0.250 Sr
0.500 0.000 0.750 Sr
0.000 0.000 0.152 Cu
0.000 0.000 0.848 Cu
0.500 0.500 0.348 Cu
0.500 0.500 0.652 Cu
0.000 0.000 0.500 Se
0.500 0.500 0.000 Se



No. 17
HfTiNbIr PBE-GGA relaxed; formation enthalpy at 0 K = -468 meV per atom; DOS(E_F) = 6.1 states/eV/f.u.; theoretical density = 12435 kg/m3
1.0
6.489 0.000 0.000
0.000 6.489 0.000
0.000 0.000 6.489
Hf Ti Nb Ir
4 4 4 4
direct
0.000 0.000 0.000 Hf
0.000 0.500 0.500 Hf
0.500 0.000 0.500 Hf
0.500 0.500 0.000 Hf
0.000 0.000 0.500 Ti
0.000 0.500 0.000 Ti
0.500 0.000 0.000 Ti
0.500 0.500 0.500 Ti
0.250 0.250 0.750 Nb
0.250 0.750 0.250 Nb
0.750 0.250 0.250 Nb
0.750 0.750 0.750 Nb
0.250 0.250 0.250 Ir
0.250 0.750 0.750 Ir
0.750 0.250 0.750 Ir
0.750 0.750 0.250 Ir



No. 18
Tl2TcAu PBE-GGA relaxed; formation enthalpy at 0 K = 502 meV per atom; DOS(E_F) = 3.9 states/eV/f.u.; theoretical density = 13201 kg/m3
1.0
3.080 0.000 0.000
0.000 3.080 0.000
0.000 0.000 9.330
Tl Tc Au
2 1 1
direct
0.000 0.000 0.000 Tl
0.500 0.500 0.322 Tl
0.500 0.500 0.776 Tc
0.000 0.000 0.589 Au



No. 19
Er4Pt2C PBE-GGA relaxed; formation enthalpy at 0 K = -721 meV per atom; DOS(E_F) = 4.4 states/eV/f.u.; theoretical density = 11295 kg/m3
1.0
4.692 0.000 0.000
0.000 4.692 0.000
0.000 0.000 14.306
Er Pt C
8 4 2
direct
0.000 0.000 0.172 Er
0.000 0.000 0.828 Er
0.000 0.500 0.000 Er
0.000 0.500 0.500 Er
0.500 0.000 0.000 Er
0.500 0.000 0.500 Er
0.500 0.500 0.328 Er
0.500 0.500 0.672 Er
0.000 0.000 0.367 Pt
0.000 0.000 0.633 Pt
0.500 0.500 0.133 Pt
0.500 0.500 0.867 Pt
0.000 0.000 0.000 C
0.500 0.500 0.500 C



No. 20
BaIn2Tc PBE-GGA relaxed; formation enthalpy at 0 K = 461 meV per atom; DOS(E_F) = 4.0 states/eV/f.u.; theoretical density = 7270 kg/m3
1.0
7.517 0.000 0.000
0.000 7.517 0.000
0.000 0.000 7.517
Ba In Tc
4 8 4
direct
0.000 0.000 0.000 Ba
0.000 0.500 0.500 Ba
0.500 0.000 0.500 Ba
0.500 0.500 0.000 Ba
0.250 0.250 0.250 In
0.250 0.250 0.750 In
0.250 0.750 0.250 In
0.250 0.750 0.750 In
0.750 0.250 0.250 In
0.750 0.250 0.750 In
0.750 0.750 0.250 In
0.750 0.750 0.750 In
0.000 0.000 0.500 Tc
0.000 0.500 0.000 Tc
0.500 0.000 0.000 Tc
0.500 0.500 0.500 Tc



No. 21
CoCu3Sb PBE-GGA relaxed; ΔE_f (raw) = 791 meV per atom; DOS(E_F) = 4.0 states/eV/f.u.; theoretical density = 7023 kg/m3
1.0
4.445 0.000 0.000
0.000 4.445 0.000
0.000 0.000 4.445
Co Cu Sb
1 3 1
direct
0.000 0.000 0.000 Co
0.000 0.000 0.500 Cu
0.000 0.500 0.000 Cu
0.500 0.000 0.000 Cu
0.500 0.500 0.500 Sb



No. 22
Cd4InPd15 PBE-GGA relaxed; formation enthalpy at 0 K = -274 meV per atom; DOS(E_F) = 26.7 states/eV/f.u.; theoretical density = 10954 kg/m3
1.0
4.057 0.000 0.000
0.000 4.057 0.000
0.000 0.000 19.904
Cd In Pd
4 1 15
direct
0.000 0.000 0.100 Cd
0.000 0.000 0.300 Cd
0.000 0.000 0.700 Cd
0.000 0.000 0.900 Cd
0.000 0.000 0.500 In
0.000 0.500 0.000 Pd
0.000 0.500 0.200 Pd
0.000 0.500 0.401 Pd
0.000 0.500 0.599 Pd
0.000 0.500 0.800 Pd
0.500 0.000 0.000 Pd
0.500 0.000 0.200 Pd
0.500 0.000 0.401 Pd
0.500 0.000 0.599 Pd
0.500 0.000 0.800 Pd
0.500 0.500 0.100 Pd
0.500 0.500 0.300 Pd
0.500 0.500 0.500 Pd
0.500 0.500 0.700 Pd
0.500 0.500 0.900 Pd



No. 23
CaNi3 PBE-GGA relaxed; formation enthalpy at 0 K = -161 meV per atom; DOS(E_F) = 4.6 states/eV/f.u.; theoretical density = 6139 kg/m3
1.0
2.503 1.445 8.084
-2.503 1.445 8.084
0.000 -2.890 8.084
Ca Ni
3 9
direct
0.000 0.000 0.000 Ca
0.140 0.140 0.140 Ca
0.860 0.860 0.860 Ca
0.083 0.580 0.580 Ni
0.332 0.332 0.332 Ni
0.420 0.420 0.917 Ni
0.420 0.917 0.420 Ni
0.500 0.500 0.500 Ni
0.580 0.083 0.580 Ni
0.580 0.580 0.083 Ni
0.668 0.668 0.668 Ni
0.917 0.420 0.420 Ni



No. 24
TiNiH2 PBE-GGA relaxed; DOS(E_F) = 3.0 states/eV/f.u.; theoretical density = 5150 kg/m3
1.0
2.988 0.000 0.000
-1.494 2.588 0.000
0.000 0.000 13.582
Ti Ni H
3 3 6
direct
0.000 0.000 0.000 Ti
0.333 0.667 0.667 Ti
0.667 0.333 0.333 Ti
0.000 0.000 0.500 Ni
0.333 0.667 0.167 Ni
0.667 0.333 0.833 Ni
0.000 0.000 0.383 H
0.000 0.000 0.617 H
0.333 0.667 0.049 H
0.333 0.667 0.284 H
0.667 0.333 0.716 H
0.667 0.333 0.951 H



| no. | energy (eV/atom) |
| --- | --- |
| 1 | -6.43 |
| 2 | -7.97 |
| 3 | -5.20 |
| 4 | -4.41 |
| 5 | -5.76 |
| 6 | -6.41 |
| 7 | -7.51 |
| 8 | -5.46 |
| 9 | -8.22 |
| 10 | -4.11 |
| 11 | -4.10 |
| 12 | -4.31 |
| 13 | -5.24 |
| 14 | -3.83 |
| 15 | -5.43 |
| 16 | -3.30 |
| 17 | -9.66 |
| 18 | -4.09 |
| 19 | -6.37 |
| 20 | -3.98 |
| 21 | -3.91 |
| 22 | -4.49 |
| 23 | -5.00 |
| 24 | -5.31 |